A plane-wave DFT calculation with PBE was carried out for a relaxed EuAl2Au2 crystal.

Values from the calculation:
formation energy	-3.37	eV/f.u.
SG	No. 129
N(E_F)	21.3	states/eV per cell

Unit cell a=4.4337 b=4.4337 c=10.6662 alpha=90.00 beta=90.00 gamma=90.00
Last column: nearest neighbours and their distance in Å.
Fractional positions:
Eu (0.0000, 0.5000, 0.7493)  8 Au 3.38-3.47, 8 Al 3.39-3.46
Eu (0.5000, 0.0000, 0.2508)  8 Au 3.38-3.47, 8 Al 3.39-3.46
Au (0.0000, 0.5000, 0.3682)  5 Al 2.55-2.62
Au (0.5000, 0.0000, 0.6318)  5 Al 2.55-2.62
Au (0.0000, 0.0000, 0.0000)  4 Al 2.61
Au (0.5000, 0.5000, 0.0000)  4 Al 2.61
Al (0.0000, 0.5000, 0.1293)  5 Au 2.55-2.61
Al (0.5000, 0.0000, 0.8707)  5 Au 2.55-2.61
Al (0.0000, 0.0000, 0.5000)  4 Au 2.62
Al (0.5000, 0.5000, 0.5000)  4 Au 2.62